No. 1
## Th2Al5Zn3 (PBE-GGA)

Data for crystalline Th2Al5Zn3 at its relaxed geometry.

```
data_Th2Al5Zn3
_space_group_name_H-M_alt 'I b a m'
_space_group_IT_number 72
_space_group_name_Hall '-I 2 2c'
_cell_length_a 10.8157
_cell_length_b 12.0859
_cell_length_c 6.0025
_cell_angle_alpha 90.00
_cell_angle_beta 90.00
_cell_angle_gamma 90.00
loop_
_atom_site_label
_atom_site_type_symbol
_atom_site_fract_x
_atom_site_fract_y
_atom_site_fract_z
Th1 Th 0.2473 0.1272 0.0000
Al1 Al 0.0000 0.2573 0.2500
Al2 Al 0.0000 0.5000 0.2500
Al3 Al 0.1348 0.1234 0.5000
Zn1 Zn 0.0000 0.0000 0.2500
Zn2 Zn 0.1385 0.3785 0.0000
```

Crystal system: orthorhombic



No. 2
## Th3Al4Zn2 (PBE-GGA)

Data for crystalline Th3Al4Zn2 at its relaxed geometry.

```
data_Th3Al4Zn2
_space_group_name_H-M_alt 'C 1 2/m 1'
_space_group_IT_number 12
_cell_length_a 10.9429
_cell_length_b 4.5463
_cell_length_c 8.7417
_cell_angle_alpha 90.00
_cell_angle_beta 110.28
_cell_angle_gamma 90.00
loop_
_space_group_symop_operation_xyz
'x,y,z'
'-x,-y,-z'
'-x,y,-z'
'x,-y,z'
'x+1/2,y+1/2,z'
'-x+1/2,-y+1/2,-z'
'-x+1/2,y+1/2,-z'
'x+1/2,-y+1/2,z'
loop_
_atom_site_label
_atom_site_type_symbol
_atom_site_fract_x
_atom_site_fract_y
_atom_site_fract_z
Th1 Th 0.0000 0.0000 0.0000
Th2 Th 0.1653 0.5000 0.6670
Al1 Al 0.0582 0.0000 0.3898
Al2 Al 0.2214 0.5000 0.0572
Zn1 Zn 0.1131 0.5000 0.2801
```

Crystal system: monoclinic



No. 3
## ThAl2Zn9 (PBE-GGA)

Data for crystalline ThAl2Zn9 at its relaxed geometry.

```
data_ThAl2Zn9
_space_group_name_H-M_alt 'I 41/a m d'
_space_group_IT_number 141
_cell_length_a 10.6032
_cell_length_b 10.6032
_cell_length_c 7.0673
_cell_angle_alpha 90.00
_cell_angle_beta 90.00
_cell_angle_gamma 90.00
loop_
_space_group_symop_operation_xyz
'x,y,z'
'-x,-y,-z'
'-y+1/4,x+3/4,z+1/4'
'y+1/4,-x+3/4,-z+1/4'
'-x+1/2,-y,z+1/2'
'x+1/2,y,-z+1/2'
'y+1/4,-x+1/4,z+3/4'
'-y+1/4,x+1/4,-z+3/4'
'x,-y,-z'
'-x,y,z'
'-y+1/4,-x+1/4,-z+3/4'
'y+1/4,x+1/4,z+3/4'
'-x+1/2,y,-z+1/2'
'x+1/2,-y,z+1/2'
'y+1/4,x+3/4,-z+1/4'
'-y+1/4,-x+3/4,z+1/4'
'x+1/2,y+1/2,z+1/2'
'-x+1/2,-y+1/2,-z+1/2'
'-y+3/4,x+1/4,z+3/4'
'y+3/4,-x+1/4,-z+3/4'
'-x,-y+1/2,z'
'x,y+1/2,-z'
'y+3/4,-x+3/4,z+1/4'
'-y+3/4,x+3/4,-z+1/4'
'x+1/2,-y+1/2,-z+1/2'
'-x+1/2,y+1/2,z+1/2'
'-y+3/4,-x+3/4,-z+1/4'
'y+3/4,x+3/4,z+1/4'
'-x,y+1/2,-z'
'x,-y+1/2,z'
'y+3/4,x+1/4,-z+3/4'
'-y+3/4,-x+1/4,z+3/4'
loop_
_atom_site_label
_atom_site_type_symbol
_atom_site_fract_x
_atom_site_fract_y
_atom_site_fract_z
Th1 Th 0.0000 0.2500 0.3750
Al1 Al 0.0000 0.0000 0.0000
Zn1 Zn 0.0000 0.2500 0.8750
Zn2 Zn 0.1210 0.0445 0.6735
```

Crystal system: tetragonal



No. 4
## ThAlZn2 (PBE-GGA)

Data for crystalline ThAlZn2 at its relaxed geometry.

```
data_ThAlZn2
_space_group_name_H-M_alt 'R -3 m'
_space_group_IT_number 166
_space_group_name_Hall '-R 3 2"'
_cell_length_a 4.3221
_cell_length_b 4.3221
_cell_length_c 15.3804
_cell_angle_alpha 90.00
_cell_angle_beta 90.00
_cell_angle_gamma 120.00
loop_
_atom_site_label
_atom_site_type_symbol
_atom_site_fract_x
_atom_site_fract_y
_atom_site_fract_z
Th1 Th 0.0000 0.0000 0.0000
Al1 Al 0.0000 0.0000 0.5000
Zn1 Zn 0.0000 0.0000 0.2159
```

Crystal system: trigonal



No. 5
## ThAlZn3 (PBE-GGA)

Data for crystalline ThAlZn3 at its relaxed geometry.

```
data_ThAlZn3
_space_group_name_H-M_alt 'P 63/m m c'
_space_group_IT_number 194
_space_group_name_Hall '-P 6c 2c'
_cell_length_a 6.2992
_cell_length_b 6.2992
_cell_length_c 11.8400
_cell_angle_alpha 90.00
_cell_angle_beta 90.00
_cell_angle_gamma 120.00
loop_
_atom_site_label
_atom_site_type_symbol
_atom_site_fract_x
_atom_site_fract_y
_atom_site_fract_z
Th1 Th 0.0000 0.0000 0.0000
Th2 Th 0.3333 0.6667 0.2500
Al1 Al 0.3333 0.6667 0.6423
Zn1 Zn 0.0000 0.5000 0.0000
Zn2 Zn 0.1305 0.2610 0.7500
```

Excess energy over the best structure of this formula in the dataset in meV/atom: 314
Crystal system: hexagonal



No. 6
## Th6AlZn (PBE-GGA)

Data for crystalline Th6AlZn at its relaxed geometry.

```
data_Th6AlZn
_space_group_name_H-M_alt 'I 4/m m m'
_space_group_IT_number 139
_space_group_name_Hall '-I 4 2'
_cell_length_a 5.1968
_cell_length_b 5.1968
_cell_length_c 17.2151
_cell_angle_alpha 90.00
_cell_angle_beta 90.00
_cell_angle_gamma 90.00
loop_
_atom_site_label
_atom_site_type_symbol
_atom_site_fract_x
_atom_site_fract_y
_atom_site_fract_z
Th1 Th 0.0000 0.0000 0.2493
Th2 Th 0.0000 0.5000 0.1076
Al1 Al 0.0000 0.0000 0.0000
Zn1 Zn 0.0000 0.0000 0.5000
```

Crystal system: tetragonal



No. 7
## Th2Al3Zn2 (PBE-GGA)

Data for crystalline Th2Al3Zn2 at its relaxed geometry.

```
data_Th2Al3Zn2
_space_group_name_H-M_alt 'C m c m'
_space_group_IT_number 63
_space_group_name_Hall '-C 2c 2'
_cell_length_a 4.4883
_cell_length_b 19.1645
_cell_length_c 7.0732
_cell_angle_alpha 90.00
_cell_angle_beta 90.00
_cell_angle_gamma 90.00
loop_
_atom_site_label
_atom_site_type_symbol
_atom_site_fract_x
_atom_site_fract_y
_atom_site_fract_z
Th1 Th 0.0000 0.0486 0.2500
Th2 Th 0.0000 0.1601 0.7500
Al1 Al 0.0000 0.2194 0.2500
Al2 Al 0.0000 0.4395 0.0704
Zn1 Zn 0.0000 0.3176 0.5664
```

Crystal system: orthorhombic



No. 8
## ThAlZn2 (PBE-GGA)

Data for crystalline ThAlZn2 at its relaxed geometry.

```
data_ThAlZn2
_space_group_name_H-M_alt 'C m m m'
_space_group_IT_number 65
_space_group_name_Hall '-C 2 2'
_cell_length_a 5.7095
_cell_length_b 9.5008
_cell_length_c 3.2045
_cell_angle_alpha 90.00
_cell_angle_beta 90.00
_cell_angle_gamma 90.00
loop_
_atom_site_label
_atom_site_type_symbol
_atom_site_fract_x
_atom_site_fract_y
_atom_site_fract_z
Th1 Th 0.0000 0.0000 0.0000
Al1 Al 0.0000 0.5000 0.5000
Zn1 Zn 0.2500 0.2500 0.5000
```

Crystal system: orthorhombic



No. 9
## ThAl4Zn8 (PBE-GGA)

Data for crystalline ThAl4Zn8 at its relaxed geometry.

```
data_ThAl4Zn8
_space_group_name_H-M_alt 'I 4/m m m'
_space_group_IT_number 139
_space_group_name_Hall '-I 4 2'
_cell_length_a 8.9066
_cell_length_b 8.9066
_cell_length_c 5.5482
_cell_angle_alpha 90.00
_cell_angle_beta 90.00
_cell_angle_gamma 90.00
loop_
_atom_site_label
_atom_site_type_symbol
_atom_site_fract_x
_atom_site_fract_y
_atom_site_fract_z
Th1 Th 0.0000 0.0000 0.0000
Al1 Al 0.2500 0.2500 0.2500
Zn1 Zn 0.0000 0.2160 0.5000
Zn2 Zn 0.0000 0.3561 0.0000
```

Crystal system: tetragonal



No. 10
## Th2Al2Zn (PBE-GGA)

Data for crystalline Th2Al2Zn at its relaxed geometry.

```
data_Th2Al2Zn
_space_group_name_H-M_alt 'C 1 2/m 1'
_space_group_IT_number 12
_cell_length_a 10.9338
_cell_length_b 4.5591
_cell_length_c 10.8085
_cell_angle_alpha 90.00
_cell_angle_beta 117.49
_cell_angle_gamma 90.00
loop_
_space_group_symop_operation_xyz
'x,y,z'
'-x,-y,-z'
'-x,y,-z'
'x,-y,z'
'x+1/2,y+1/2,z'
'-x+1/2,-y+1/2,-z'
'-x+1/2,y+1/2,-z'
'x+1/2,-y+1/2,z'
loop_
_atom_site_label
_atom_site_type_symbol
_atom_site_fract_x
_atom_site_fract_y
_atom_site_fract_z
Th1 Th 0.0139 0.0000 0.3322
Th2 Th 0.1840 0.0000 0.0979
Al1 Al 0.0165 0.5000 0.8822
Al2 Al 0.1426 0.5000 0.5675
Zn1 Zn 0.2232 0.5000 0.3462
```

Crystal system: monoclinic



No. 11
## Th2ZrAl (PBE-GGA)

Data for crystalline Th2ZrAl at its relaxed geometry.

```
data_Th2ZrAl
_space_group_name_H-M_alt 'R -3 m'
_space_group_IT_number 166
_space_group_name_Hall '-R 3 2"'
_cell_length_a 3.2872
_cell_length_b 3.2872
_cell_length_c 34.6652
_cell_angle_alpha 90.00
_cell_angle_beta 90.00
_cell_angle_gamma 120.00
loop_
_atom_site_label
_atom_site_type_symbol
_atom_site_fract_x
_atom_site_fract_y
_atom_site_fract_z
Th1 Th 0.0000 0.0000 0.0905
Zr1 Zr 0.0000 0.0000 0.0000
Al1 Al 0.0000 0.0000 0.5000
```

Excess energy over the best structure of this formula in the dataset in meV/atom: 384
Crystal system: trigonal



No. 12
## ThZr2Al (PBE-GGA)

Data for crystalline ThZr2Al at its relaxed geometry.

```
data_ThZr2Al
_space_group_name_H-M_alt 'F m -3 m'
_space_group_IT_number 225
_space_group_name_Hall '-F 4 2 3'
_cell_length_a 7.1699
_cell_length_b 7.1699
_cell_length_c 7.1699
_cell_angle_alpha 90.00
_cell_angle_beta 90.00
_cell_angle_gamma 90.00
loop_
_atom_site_label
_atom_site_type_symbol
_atom_site_fract_x
_atom_site_fract_y
_atom_site_fract_z
Th1 Th 0.0000 0.0000 0.0000
Zr1 Zr 0.2500 0.2500 0.2500
Al1 Al 0.0000 0.0000 0.5000
```

Excess energy over the best structure of this formula in the dataset in meV/atom: 128
Crystal system: cubic



Number 1: formation enthalpy at 0 K -3.45 eV per formula unit, volume 19.62 Å³ per atom, calculated total energy -163.310 eV per cell. Number 2: formation enthalpy at 0 K -3.60 eV per formula unit, volume 22.66 Å³ per atom, calculated total energy -86.754 eV per cell. Number 3: formation enthalpy at 0 K -1.71 eV per formula unit, volume 16.55 Å³ per atom, calculated total energy -112.304 eV per cell. Number 4: formation enthalpy at 0 K -1.06 eV per formula unit, volume 20.73 Å³ per atom, calculated total energy -44.300 eV per cell. Number 5: formation enthalpy at 0 K -0.12 eV per formula unit, volume 20.34 Å³ per atom, calculated total energy -60.422 eV per cell. Number 6: formation enthalpy at 0 K -0.54 eV per formula unit, volume 29.06 Å³ per atom, calculated total energy -100.144 eV per cell. Number 7: formation enthalpy at 0 K -2.54 eV per formula unit, volume 21.73 Å³ per atom, calculated total energy -124.610 eV per cell. Number 8: formation enthalpy at 0 K -0.28 eV per formula unit, volume 21.73 Å³ per atom, calculated total energy -27.975 eV per cell. Number 9: formation enthalpy at 0 K -1.71 eV per formula unit, volume 16.93 Å³ per atom, calculated total energy -68.576 eV per cell. Number 10: formation enthalpy at 0 K -1.74 eV per formula unit, volume 23.90 Å³ per atom, calculated total energy -101.342 eV per cell. Number 11: formation enthalpy at 0 K 1.05 eV per formula unit, volume 27.03 Å³ per atom, calculated total energy -78.256 eV per cell. Number 12: formation enthalpy at 0 K -0.19 eV per formula unit, volume 23.04 Å³ per atom, calculated total energy -113.806 eV per cell.